Below is a PBEsol-optimized structure of MgNiTe2, with properties calculated at the meta-GGA SCAN level.

```
MgNiTe2
1.0
3.859 0.000 0.000
1.930 3.342 0.000
1.930 1.114 6.691
Te Ni Mg
2 1 1
Cartesian
5.789 3.342 5.304
1.930 1.114 1.387
0.000 0.000 0.000
3.859 2.228 3.345
```

Results
DOS(E_F), states/eV/cell: 2.36
Calculated total energy, eV per atom: -24.236
Space group: R-3m, No. 166
E_form (uncorrected), eV/atom: -0.323


Below is a PBEsol-optimized structure of MgNiTe2, with properties calculated at the meta-GGA SCAN level.

```
MgNiTe2
1.0
-1.789 -1.718 -4.164
4.537 -1.212 1.371
0.938 -4.524 1.463
Te Mg Ni
2 1 1
Cartesian
2.056 -2.166 0.011
1.630 -5.287 -1.340
-0.425 -3.121 -1.350
0.000 0.000 0.000
```

Results
DOS(E_F), states/eV/cell: 3.69
Calculated total energy, eV per atom: -23.715
Space group: I4/mmm, No. 139
E_form (uncorrected), eV/atom: 0.197


Below is a PBEsol-optimized structure of Mg2NiTe, with properties calculated at the meta-GGA SCAN level.

```
Mg2NiTe
1.0
3.866 0.000 0.000
0.000 3.956 0.000
-1.933 0.000 5.139
Ni Mg Te
1 2 1
Cartesian
1.933 0.000 3.420
0.000 1.978 4.132
0.000 0.000 0.854
1.933 1.978 1.911
```

Results
DOS(E_F), states/eV/cell: 1.39
Calculated total energy, eV per atom: -16.100
Space group: Amm2, No. 38
E_form (uncorrected), eV/atom: -0.257


Below is a PBEsol-optimized structure of MgTi3Ni, with properties calculated at the meta-GGA SCAN level.

```
MgTi3Ni
1.0
-1.318 -4.314 -0.529
2.615 -1.229 3.504
-3.471 0.713 2.840
Ti Ni Mg
3 1 1
Cartesian
-0.659 -2.157 -0.265
1.307 -0.614 1.752
-1.736 0.356 1.420
0.000 0.000 0.000
-1.087 -2.415 2.908
```

Results
DOS(E_F), states/eV/cell: 9.93
Calculated total energy, eV per atom: -13.560
Space group: Pm-3m, No. 221


Below is a PBEsol-optimized structure of Mg2TlNi2, with properties calculated at the meta-GGA SCAN level.

```
Mg2TlNi2
1.0
3.908 0.000 0.000
0.000 3.908 0.000
-1.954 -1.954 5.608
Tl Ni Mg
1 2 2
Cartesian
0.000 0.000 0.000
0.000 0.000 4.490
1.954 1.954 1.118
1.954 0.000 2.804
0.000 1.954 2.804
```

Results
DOS(E_F), states/eV/cell: 1.95
Calculated total energy, eV per atom: -22.703
Space group: I4/mmm, No. 139


Below is a PBEsol-optimized structure of MgTlNi, with properties calculated at the meta-GGA SCAN level.

```
MgTlNi
1.0
-0.896 2.308 3.546
-1.319 -1.996 3.603
2.617 -0.212 3.437
Ni Mg Tl
1 1 1
Cartesian
0.301 0.076 7.939
0.201 0.050 5.292
0.000 0.000 0.000
```

Results
DOS(E_F), states/eV/cell: 1.59
Calculated total energy, eV per atom: -31.143
Space group: F-43m, No. 216


Which of these has the highest DOS(E_F)?
MgTi3Ni